Computed, not measured: a relaxed BaBe2PdPt crystal at the PBE-GGA level of DFT.

The energy of formation from the pure elements is -0.170 eV/atom. Its magnetic moment is 0.0 μB/cell.

a b c (Å): 4.3803 5.4313 4.3803
angles (deg): 90.00 90.00 90.00
Last column: nearest neighbours and their distance in Å.
Fractional coordinates of all 5 atoms:
Ba: 0.5000 0.5000 0.5000  4 Pd 3.10
Pd: 0.0000 0.5000 0.0000  2 Pt 2.72
Be: 0.5000 0.0000 0.0000  2 Pt 2.19
Be: 0.0000 0.0000 0.5000  2 Pt 2.19
Pt: 0.0000 0.0000 0.0000  4 Be 2.19



Computed, not measured: a relaxed SrNbCrGa2 crystal at the PBE-GGA level of DFT.

The energy of formation from the pure elements is 0.288 eV/atom. Its magnetic moment is 2.8 μB/cell.

a b c (Å): 5.1616 4.7035 5.1616
angles (deg): 90.00 90.00 90.00
Last column: nearest neighbours and their distance in Å.
Fractional coordinates of all 5 atoms:
Nb: 0.0000 0.0000 0.0000  2 Cr 2.35, 4 Ga 2.58
Ga: 0.5000 0.0000 0.0000  2 Nb 2.58
Ga: 0.0000 0.0000 0.5000  2 Nb 2.58
Sr: 0.5000 0.5000 0.5000  8 Ga 3.49, 4 Cr 3.65
Cr: 0.0000 0.5000 0.0000  2 Nb 2.35



Computed, not measured: a relaxed TcPS crystal at the PBE-GGA level of DFT.

The energy relative to the lowest polymorph listed for this composition comes out at 0.000 eV per atom. Its magnetic moment is 0.0 μB/cell. Its uncorrected formation energy is -0.529 eV per atom.

a b c (Å): 3.0162 5.1082 5.9297
angles (deg): 90.00 90.00 90.00
Last column: nearest neighbours and their distance in Å.
Fractional coordinates of all 6 atoms:
S: 0.5000 0.5861 0.8098  1 P 2.28, 3 Tc 2.37-2.40
S: 0.0000 0.4139 0.3098  1 P 2.28, 3 Tc 2.37-2.40
P: 0.5000 0.9194 0.5536  1 S 2.28, 3 Tc 2.33-2.43
P: 0.0000 0.0806 0.0536  1 S 2.28, 3 Tc 2.33-2.43
Tc: 0.0000 0.2551 0.6915  3 P 2.33-2.43, 3 S 2.37-2.40
Tc: 0.5000 0.7449 0.1915  3 P 2.33-2.43, 3 S 2.37-2.40



Computed, not measured: a relaxed ErThSn2 crystal at the PBE-GGA level of DFT.

The energy of formation from the pure elements is -0.393 eV/atom. The energy relative to the lowest polymorph listed for this composition comes out at 0.203 eV per atom. Its magnetic moment is 0.0 μB/cell.

a b c (Å): 3.5651 3.5651 10.4527
angles (deg): 80.18 80.18 60.00
Last column: nearest neighbours and their distance in Å.
Fractional coordinates of all 4 atoms:
Sn: 0.2534 0.2534 0.2397  3 Er 3.20, 3 Th 3.37, 6 Sn 3.57
Sn: 0.7466 0.7466 0.7603  3 Er 3.20, 3 Th 3.37, 6 Sn 3.57
Th: 0.5000 0.5000 0.5000  6 Sn 3.37, 6 Th 3.57
Er: 0.0000 0.0000 0.0000  6 Sn 3.20, 6 Er 3.57